## Pm2Tm4Sc3 (PBE)

Data for a relaxed Pm2Tm4Sc3 crystal.

Cell and atoms, written as extended XYZ:
```
9
Lattice="3.483 0.000 0.000 -1.741 3.016 0.000 0.000 0.000 25.241" Properties=species:S:1:pos:R:3 pbc="T T T"
Pm 0.000 0.000 0.000
Pm 0.000 0.000 5.471
Tm 0.000 0.000 8.968
Tm 0.000 0.000 14.201
Tm 0.000 2.011 17.023
Tm 0.000 2.011 22.288
Sc 0.000 0.000 19.662
Sc 0.000 2.011 2.783
Sc 0.000 2.011 11.565
```

Computed properties:
DOS at the Fermi energy = 14.05 states/eV/f.u.
V = 29.5 Å³/atom
total magnetization = 0.0 μB per cell
excess energy over the best structure of this formula in the dataset = 0.000 eV/atom
energy of formation = 0.059 eV/atom
theoretical density = 6.89 g/cm³